# 1
AgHgPd2 | PBE-GGA | relaxed

```
data_AgHgPd2
_chemical_formula_sum 'Ag3 Hg3 Pd6'
_symmetry_space_group_name_H-M 'R 3 m'
_symmetry_Int_Tables_number 160
_symmetry_space_group_name_Hall 'R 3 -2"'
_cell_length_a 2.9838
_cell_length_b 2.9838
_cell_length_c 27.2809
_cell_angle_alpha 90.00
_cell_angle_beta 90.00
_cell_angle_gamma 120.00
loop_
_atom_site_label
_atom_site_fract_x
_atom_site_fract_y
_atom_site_fract_z
Ag1 0.0000 0.0000 0.0000
Hg1 0.0000 0.0000 0.1670
Pd1 0.0000 0.0000 0.5835
Pd2 0.0000 0.0000 0.7503
```

## Properties
Energy of formation from the pure elements = -0.011 eV per atom
Magnetic moment = 0.000 μB per atom
DOS at the Fermi energy = 0.551 states/eV/atom
Energy above the most stable polymorph in this dataset = 0.122 eV/atom
Theoretical density = 12.3 g cm⁻³

***

# 2
CrNiSn | PBE-GGA | relaxed

```
data_CrNiSn
_chemical_formula_sum 'Cr2 Ni2 Sn2'
_symmetry_space_group_name_H-M 'P -6 m 2'
_symmetry_Int_Tables_number 187
_symmetry_space_group_name_Hall 'P -6 2'
_cell_length_a 3.1183
_cell_length_b 3.1183
_cell_length_c 11.8007
_cell_angle_alpha 90.00
_cell_angle_beta 90.00
_cell_angle_gamma 120.00
loop_
_atom_site_label
_atom_site_fract_x
_atom_site_fract_y
_atom_site_fract_z
Cr1 0.0000 0.0000 0.1419
Ni1 0.3333 0.6667 0.0000
Ni2 0.3333 0.6667 0.5000
Sn1 0.6667 0.3333 0.3341
```

## Properties
Energy of formation from the pure elements = 0.401 eV per atom
Magnetic moment = 1.036 μB per atom
DOS at the Fermi energy = 0.940 states/eV/atom
Theoretical density = 7.7 g cm⁻³

***

# 3
Ac6HOs2 | PBE-GGA | relaxed

```
data_Ac6HOs2
_chemical_formula_sum 'Ac12 H2 Os4'
_symmetry_space_group_name_H-M 'P 1 21/c 1'
_symmetry_Int_Tables_number 14
_cell_length_a 6.9199
_cell_length_b 7.7702
_cell_length_c 12.4330
_cell_angle_alpha 90.00
_cell_angle_beta 122.01
_cell_angle_gamma 90.00
loop_
_symmetry_equiv_pos_as_xyz
'x,y,z'
'-x,-y,-z'
'-x,y+1/2,-z+1/2'
'x,-y+1/2,z+1/2'
loop_
_atom_site_label
_atom_site_fract_x
_atom_site_fract_y
_atom_site_fract_z
Ac1 0.0946 0.0477 0.2524
Ac2 0.2506 0.6684 0.0759
Ac3 0.3938 0.1758 0.0683
H1 0.5000 0.0000 0.5000
Os1 0.3220 0.1158 0.7660
```

## Properties
Electronic total energy = -5.7167 eV per atom
Magnetic moment = 0.000 μB per atom
DOS at the Fermi energy = 0.907 states/eV/atom
Theoretical density = 10.2 g cm⁻³

***

# 4
Th8Ir3PtSe4 | PBE-GGA | relaxed

```
data_Th8Ir3PtSe4
_chemical_formula_sum 'Th16 Ir6 Pt2 Se8'
_symmetry_space_group_name_H-M 'C 1 2/m 1'
_symmetry_Int_Tables_number 12
_cell_length_a 14.3364
_cell_length_b 8.2743
_cell_length_c 8.7641
_cell_angle_alpha 90.00
_cell_angle_beta 123.06
_cell_angle_gamma 90.00
loop_
_symmetry_equiv_pos_as_xyz
'x,y,z'
'-x,-y,-z'
'-x,y,-z'
'x,-y,z'
'x+1/2,y+1/2,z'
'-x+1/2,-y+1/2,-z'
'-x+1/2,y+1/2,-z'
'x+1/2,-y+1/2,z'
loop_
_atom_site_label
_atom_site_fract_x
_atom_site_fract_y
_atom_site_fract_z
Th1 0.0105 0.2460 0.2789
Th2 0.2405 0.0000 0.7201
Th3 0.2433 0.5000 0.7208
Ir1 0.0000 0.0000 0.5000
Ir2 0.2500 0.2500 0.5000
Pt1 0.0000 0.5000 0.5000
Se1 0.0000 0.0000 0.0000
Se2 0.0000 0.5000 0.0000
Se3 0.2500 0.2500 0.0000
```

## Properties
Formation energy from raw total energies = -1.3448 eV/atom
Magnetic moment = 0.000 μB per atom
DOS at the Fermi energy = 0.743 states/eV/atom
Theoretical density = 11.2 g cm⁻³

***

# 5
Y2AlP | PBE-GGA | relaxed

```
data_Y2AlP
_chemical_formula_sum 'Y4 Al2 P2'
_symmetry_space_group_name_H-M 'A m m 2'
_symmetry_Int_Tables_number 38
_cell_length_a 3.8918
_cell_length_b 4.2540
_cell_length_c 10.7051
_cell_angle_alpha 90.00
_cell_angle_beta 90.00
_cell_angle_gamma 90.00
loop_
_symmetry_equiv_pos_as_xyz
'x,y,z'
'-x,-y,z'
'-x,y,z'
'x,-y,z'
'x,y+1/2,z+1/2'
'-x,-y+1/2,z+1/2'
'-x,y+1/2,z+1/2'
'x,-y+1/2,z+1/2'
loop_
_atom_site_label
_atom_site_fract_x
_atom_site_fract_y
_atom_site_fract_z
Y1 0.0000 0.0000 0.0000
Y2 0.5000 0.0000 0.2850
Al1 0.5000 0.0000 0.5673
P1 0.0000 0.0000 0.7227
```

## Properties
Energy of formation from the pure elements = -0.903 eV per atom
Magnetic moment = 0.000 μB per atom
DOS at the Fermi energy = 0.871 states/eV/atom
Energy above the most stable polymorph in this dataset = 0.000 eV/atom
Theoretical density = 4.4 g cm⁻³

***

# 6
CuSnRh | PBE-GGA | relaxed

```
data_CuSnRh
_chemical_formula_sum 'Cu2 Sn2 Rh2'
_symmetry_space_group_name_H-M 'P -6 m 2'
_symmetry_Int_Tables_number 187
_symmetry_space_group_name_Hall 'P -6 2'
_cell_length_a 3.0796
_cell_length_b 3.0796
_cell_length_c 12.3445
_cell_angle_alpha 90.00
_cell_angle_beta 90.00
_cell_angle_gamma 120.00
loop_
_atom_site_label
_atom_site_fract_x
_atom_site_fract_y
_atom_site_fract_z
Cu1 0.0000 0.0000 0.1554
Sn1 0.3333 0.6667 0.3285
Rh1 0.6667 0.3333 0.0000
Rh2 0.6667 0.3333 0.5000
```

## Properties
Energy of formation from the pure elements = 0.135 eV per atom
Magnetic moment = 0.046 μB per atom
DOS at the Fermi energy = 1.049 states/eV/atom
Theoretical density = 9.3 g cm⁻³

***

# 7
KTcI2 | PBE-GGA | relaxed

```
data_KTcI2
_chemical_formula_sum 'K4 Tc4 I8'
_symmetry_space_group_name_H-M 'F m -3 m'
_symmetry_Int_Tables_number 225
_symmetry_space_group_name_Hall '-F 4 2 3'
_cell_length_a 7.9508
_cell_length_b 7.9508
_cell_length_c 7.9508
_cell_angle_alpha 90.00
_cell_angle_beta 90.00
_cell_angle_gamma 90.00
loop_
_atom_site_label
_atom_site_fract_x
_atom_site_fract_y
_atom_site_fract_z
K1 0.0000 0.0000 0.0000
Tc1 0.0000 0.0000 0.5000
I1 0.2500 0.2500 0.2500
```

## Properties
Formation energy from raw total energies = 0.2986 eV/atom
Magnetic moment = 1.003 μB per atom
DOS at the Fermi energy = 1.830 states/eV/atom
Energy above the most stable polymorph in this dataset = 0.269 eV/atom
Theoretical density = 5.2 g cm⁻³

***

# 8
Ca2Er4Sn3O2 | PBE-GGA | relaxed

```
data_Ca2Er4Sn3O2
_chemical_formula_sum 'Ca4 Er8 Sn6 O4'
_symmetry_space_group_name_H-M 'I 4/m m m'
_symmetry_Int_Tables_number 139
_symmetry_space_group_name_Hall '-I 4 2'
_cell_length_a 4.6725
_cell_length_b 4.6725
_cell_length_c 24.9528
_cell_angle_alpha 90.00
_cell_angle_beta 90.00
_cell_angle_gamma 90.00
loop_
_atom_site_label
_atom_site_fract_x
_atom_site_fract_y
_atom_site_fract_z
Ca1 0.0000 0.0000 0.1959
Er1 0.0000 0.5000 0.0851
Sn1 0.0000 0.0000 0.3278
Sn2 0.0000 0.0000 0.5000
O1 0.0000 0.0000 0.0932
```

## Properties
Formation energy from raw total energies = -1.5377 eV/atom
Magnetic moment = 0.000 μB per atom
DOS at the Fermi energy = 0.151 states/eV/atom
Theoretical density = 6.9 g cm⁻³

***

# 9
Er3Si3Rh2 | PBE-GGA | relaxed

```
data_Er3Si3Rh2
_chemical_formula_sum 'Er12 Si12 Rh8'
_symmetry_space_group_name_H-M 'P n m a'
_symmetry_Int_Tables_number 62
_cell_length_a 7.9348
_cell_length_b 13.8648
_cell_length_c 5.5951
_cell_angle_alpha 90.00
_cell_angle_beta 90.00
_cell_angle_gamma 90.00
loop_
_symmetry_equiv_pos_as_xyz
'x,y,z'
'-x,-y,-z'
'-x+1/2,-y,z+1/2'
'x+1/2,y,-z+1/2'
'x+1/2,-y+1/2,-z+1/2'
'-x+1/2,y+1/2,z+1/2'
'-x,y+1/2,-z'
'x,-y+1/2,z'
loop_
_atom_site_label
_atom_site_fract_x
_atom_site_fract_y
_atom_site_fract_z
Er1 0.0446 0.1137 0.1211
Er2 0.1939 0.2500 0.6269
Si1 0.1597 0.7500 0.6012
Si2 0.2001 0.0396 0.6280
Rh1 0.0826 0.5922 0.3893
```

## Properties
Formation energy from raw total energies = -0.9701 eV/atom
Magnetic moment = 0.000 μB per atom
DOS at the Fermi energy = 0.572 states/eV/atom
Energy above the most stable polymorph in this dataset = 0.045 eV/atom
Theoretical density = 8.5 g cm⁻³

***

# 10
Er4HgIr2 | PBE-GGA | relaxed

```
data_Er4HgIr2
_chemical_formula_sum 'Er8 Hg2 Ir4'
_symmetry_space_group_name_H-M 'P 1'
_symmetry_Int_Tables_number 1
_cell_length_a 7.4411
_cell_length_b 7.4945
_cell_length_c 7.5937
_cell_angle_alpha 109.72
_cell_angle_beta 108.93
_cell_angle_gamma 109.00
loop_
_symmetry_equiv_pos_as_xyz
'x,y,z'
loop_
_atom_site_label
_atom_site_fract_x
_atom_site_fract_y
_atom_site_fract_z
Er1 0.0000 0.0000 0.0000
Er2 0.0077 0.0424 0.5182
Er3 0.1532 0.5822 0.8996
Er4 0.3612 0.9140 0.7381
Er5 0.4969 0.6622 0.3486
Er6 0.5227 0.4583 0.7047
Er7 0.5809 0.1739 0.2805
Er8 0.8438 0.5556 0.1694
Hg1 0.1042 0.4091 0.4148
Hg2 0.7464 0.1762 0.7249
Ir1 0.2535 0.9050 0.3221
Ir2 0.3675 0.3017 0.9602
Ir3 0.6226 0.8096 0.0703
Ir4 0.8728 0.6453 0.5856
```

## Properties
Energy of formation from the pure elements = -0.686 eV per atom
Magnetic moment = 0.000 μB per atom
DOS at the Fermi energy = 0.649 states/eV/atom
Energy above the most stable polymorph in this dataset = 0.000 eV/atom
Theoretical density = 12.7 g cm⁻³

***

# 11
LiBePd2 | PBE-GGA | relaxed

```
data_LiBePd2
_chemical_formula_sum 'Li1 Be1 Pd2'
_symmetry_space_group_name_H-M 'P 4/m m m'
_symmetry_Int_Tables_number 123
_symmetry_space_group_name_Hall '-P 4 2'
_cell_length_a 2.8700
_cell_length_b 2.8700
_cell_length_c 5.9410
_cell_angle_alpha 90.00
_cell_angle_beta 90.00
_cell_angle_gamma 90.00
loop_
_atom_site_label
_atom_site_fract_x
_atom_site_fract_y
_atom_site_fract_z
Li1 0.0000 0.0000 0.0000
Be1 0.0000 0.0000 0.5000
Pd1 0.5000 0.5000 0.2692
```

## Properties
Energy of formation from the pure elements = -0.543 eV per atom
Magnetic moment = 0.000 μB per atom
DOS at the Fermi energy = 0.138 states/eV/atom
Theoretical density = 7.8 g cm⁻³

***

# 12
Li3Ta2NbN6 | PBE-GGA | relaxed

```
data_Li3Ta2NbN6
_chemical_formula_sum 'Li6 Ta4 Nb2 N12'
_symmetry_space_group_name_H-M 'C 1 2/m 1'
_symmetry_Int_Tables_number 12
_cell_length_a 5.3717
_cell_length_b 9.3040
_cell_length_c 5.4083
_cell_angle_alpha 90.00
_cell_angle_beta 109.34
_cell_angle_gamma 90.00
loop_
_symmetry_equiv_pos_as_xyz
'x,y,z'
'-x,-y,-z'
'-x,y,-z'
'x,-y,z'
'x+1/2,y+1/2,z'
'-x+1/2,-y+1/2,-z'
'-x+1/2,y+1/2,-z'
'x+1/2,-y+1/2,z'
loop_
_atom_site_label
_atom_site_fract_x
_atom_site_fract_y
_atom_site_fract_z
Li1 0.0000 0.0000 0.0000
Li2 0.0000 0.3341 0.0000
Ta1 0.0000 0.1667 0.5000
Nb1 0.0000 0.5000 0.5000
N1 0.2375 0.0000 0.7195
N2 0.2410 0.3322 0.7193
```

## Properties
Formation energy from raw total energies = -0.9815 eV/atom
Magnetic moment = 0.000 μB per atom
Theoretical density = 7.3 g cm⁻³